Entry 1:
# HoTiZnRu | Alexandria via LeMat-Bulk | PBE | optimized geometry
# **Magnetic moment**: 0.00 μB/atom
# **Calculated formation energy**: -0.263 eV/atom
# **ρ**: 8.80 Mg/m³
# **Calculated volume**: 17.90 Å³ per atom
# **VASP energy**: -24.08 eV/f.u.
data_HoTiZnRu
_chemical_formula_sum 'Ho4 Ti4 Zn4 Ru4'
_cell_length_a 6.591
_cell_length_b 6.591
_cell_length_c 6.591
_cell_angle_alpha 90.00
_cell_angle_beta 90.00
_cell_angle_gamma 90.00
_space_group_name_H-M_alt 'F -4 3 m'
_space_group_IT_number 216
_space_group_name_Hall 'F -4 2 3'
loop_
_atom_site_label
_atom_site_type_symbol
_atom_site_fract_x
_atom_site_fract_y
_atom_site_fract_z
_atom_site_occupancy
Ho1 Ho 0.000 0.000 0.000 1
Ti1 Ti 0.000 0.000 0.500 1
Zn1 Zn 0.250 0.250 0.750 1
Ru1 Ru 0.250 0.250 0.250 1

Entry 2:
# Ho3Tl2Ru | Alexandria via LeMat-Bulk | PBE | optimized geometry
# **Magnetic moment**: 0.00 μB/atom
# **Calculated formation energy**: -0.264 eV/atom
# **ρ**: 10.20 Mg/m³
# **Calculated volume**: 27.25 Å³ per atom
# **VASP energy**: -29.32 eV/f.u.
data_Ho3Tl2Ru
_chemical_formula_sum 'Ho12 Tl8 Ru4'
_cell_length_a 7.784
_cell_length_b 10.655
_cell_length_c 7.994
_cell_angle_alpha 90.00
_cell_angle_beta 99.48
_cell_angle_gamma 90.00
_space_group_name_H-M_alt 'C 1 2/m 1'
_space_group_IT_number 12
_space_group_name_Hall '-C 2y'
loop_
_atom_site_label
_atom_site_type_symbol
_atom_site_fract_x
_atom_site_fract_y
_atom_site_fract_z
_atom_site_occupancy
Ho1 Ho 0.166 0.000 0.163 1
Ho2 Ho 0.225 0.178 0.778 1
Tl1 Tl 0.000 0.000 0.500 1
Tl2 Tl 0.000 0.359 0.500 1
Tl3 Tl 0.000 0.500 0.000 1
Ru1 Ru 0.000 0.214 0.000 1

Entry 3:
# Ho6Tl5Ru | Alexandria via LeMat-Bulk | PBE | optimized geometry
# **Magnetic moment**: 0.00 μB/atom
# **Calculated formation energy**: -0.342 eV/atom
# **ρ**: 11.32 Mg/m³
# **Calculated volume**: 25.83 Å³ per atom
# **VASP energy**: -52.68 eV/f.u.
data_Ho6Tl5Ru
_chemical_formula_sum 'Ho12 Tl10 Ru2'
_cell_length_a 5.289
_cell_length_b 7.494
_cell_length_c 15.638
_cell_angle_alpha 90.00
_cell_angle_beta 90.00
_cell_angle_gamma 90.00
_space_group_name_H-M_alt 'I m m m'
_space_group_IT_number 71
_space_group_name_Hall '-I 2 2'
loop_
_atom_site_label
_atom_site_type_symbol
_atom_site_fract_x
_atom_site_fract_y
_atom_site_fract_z
_atom_site_occupancy
Ho1 Ho 0.000 0.224 0.000 1
Ho2 Ho 0.000 0.269 0.347 1
Tl1 Tl 0.000 0.000 0.181 1
Tl2 Tl 0.000 0.000 0.500 1
Tl3 Tl 0.000 0.500 0.164 1
Ru1 Ru 0.000 0.500 0.500 1

Entry 4:
# Ho6Tl3Ru | Alexandria via LeMat-Bulk | PBE | optimized geometry
# **Magnetic moment**: 0.00 μB/atom
# **Calculated formation energy**: -0.282 eV/atom
# **ρ**: 10.42 Mg/m³
# **Calculated volume**: 27.15 Å³ per atom
# **VASP energy**: -46.66 eV/f.u.
data_Ho6Tl3Ru
_chemical_formula_sum 'Ho12 Tl6 Ru2'
_cell_length_a 8.977
_cell_length_b 11.638
_cell_length_c 5.197
_cell_angle_alpha 90.00
_cell_angle_beta 90.00
_cell_angle_gamma 90.00
_space_group_name_H-M_alt 'P n n m'
_space_group_IT_number 58
_space_group_name_Hall '-P 2 2n'
loop_
_atom_site_label
_atom_site_type_symbol
_atom_site_fract_x
_atom_site_fract_y
_atom_site_fract_z
_atom_site_occupancy
Ho1 Ho 0.010 0.236 0.000 1
Ho2 Ho 0.153 0.083 0.500 1
Ho3 Ho 0.192 0.419 0.500 1
Tl1 Tl 0.000 0.500 0.000 1
Tl2 Tl 0.156 0.736 0.500 1
Ru1 Ru 0.000 0.000 0.000 1

Entry 5:
# Ho5TlRu4 | Alexandria via LeMat-Bulk | PBE | optimized geometry
# **Magnetic moment**: 0.00 μB/atom
# **Calculated formation energy**: -0.394 eV/atom
# **ρ**: 11.29 Mg/m³
# **Calculated volume**: 21.09 Å³ per atom
# **VASP energy**: -66.30 eV/f.u.
data_Ho5TlRu4
_chemical_formula_sum 'Ho5 Tl1 Ru4'
_cell_length_a 3.399
_cell_length_b 3.399
_cell_length_c 18.250
_cell_angle_alpha 90.00
_cell_angle_beta 90.00
_cell_angle_gamma 90.00
_space_group_name_H-M_alt 'P 4/m m m'
_space_group_IT_number 123
_space_group_name_Hall '-P 4 2'
loop_
_atom_site_label
_atom_site_type_symbol
_atom_site_fract_x
_atom_site_fract_y
_atom_site_fract_z
_atom_site_occupancy
Ho1 Ho 0.000 0.000 0.000 1
Ho2 Ho 0.000 0.000 0.184 1
Ho3 Ho 0.000 0.000 0.367 1
Tl1 Tl 0.500 0.500 0.500 1
Ru1 Ru 0.500 0.500 0.093 1
Ru2 Ru 0.500 0.500 0.282 1

Entry 6:
# Ho8Tl2Ru3 | Alexandria via LeMat-Bulk | PBE | optimized geometry
# **Magnetic moment**: 0.00 μB/atom
# **Calculated formation energy**: -0.266 eV/atom
# **ρ**: 9.66 Mg/m³
# **Calculated volume**: 26.86 Å³ per atom
# **VASP energy**: -72.64 eV/f.u.
data_Ho8Tl2Ru3
_chemical_formula_sum 'Ho8 Tl2 Ru3'
_cell_length_a 8.721
_cell_length_b 4.930
_cell_length_c 8.741
_cell_angle_alpha 90.00
_cell_angle_beta 111.68
_cell_angle_gamma 90.00
_space_group_name_H-M_alt 'P 1 2/m 1'
_space_group_IT_number 10
_space_group_name_Hall '-P 2y'
loop_
_atom_site_label
_atom_site_type_symbol
_atom_site_fract_x
_atom_site_fract_y
_atom_site_fract_z
_atom_site_occupancy
Ho1 Ho 0.111 0.000 0.389 1
Ho2 Ho 0.142 0.500 0.865 1
Ho3 Ho 0.364 0.500 0.642 1
Ho4 Ho 0.387 0.000 0.113 1
Tl1 Tl 0.246 0.500 0.254 1
Ru1 Ru 0.251 0.000 0.751 1
Ru2 Ru 0.500 0.500 0.000 1

Entry 7:
# Ho5Tl2Ru | Alexandria via LeMat-Bulk | PBE | optimized geometry
# **Magnetic moment**: 0.00 μB/atom
# **Calculated formation energy**: -0.178 eV/atom
# **ρ**: 10.07 Mg/m³
# **Calculated volume**: 27.50 Å³ per atom
# **VASP energy**: -38.33 eV/f.u.
data_Ho5Tl2Ru
_chemical_formula_sum 'Ho10 Tl4 Ru2'
_cell_length_a 7.057
_cell_length_b 7.057
_cell_length_c 8.833
_cell_angle_alpha 90.00
_cell_angle_beta 90.00
_cell_angle_gamma 90.00
_space_group_name_H-M_alt 'I 4 m m'
_space_group_IT_number 107
_space_group_name_Hall 'I 4 -2'
loop_
_atom_site_label
_atom_site_type_symbol
_atom_site_fract_x
_atom_site_fract_y
_atom_site_fract_z
_atom_site_occupancy
Ho1 Ho 0.000 0.000 0.000 1
Ho2 Ho 0.245 0.245 0.727 1
Tl1 Tl 0.000 0.500 0.470 1
Ru1 Ru 0.000 0.000 0.330 1

Entry 8:
# Ho11Tl9Ru4 | Alexandria via LeMat-Bulk | PBE | optimized geometry
# **Magnetic moment**: 0.00 μB/atom
# **Calculated formation energy**: -0.364 eV/atom
# **ρ**: 11.42 Mg/m³
# **Calculated volume**: 24.58 Å³ per atom
# **VASP energy**: -117.48 eV/f.u.
data_Ho11Tl9Ru4
_chemical_formula_sum 'Ho22 Tl18 Ru8'
_cell_length_a 14.535
_cell_length_b 21.765
_cell_length_c 3.730
_cell_angle_alpha 90.00
_cell_angle_beta 90.00
_cell_angle_gamma 90.00
_space_group_name_H-M_alt 'C m m m'
_space_group_IT_number 65
_space_group_name_Hall '-C 2 2'
loop_
_atom_site_label
_atom_site_type_symbol
_atom_site_fract_x
_atom_site_fract_y
_atom_site_fract_z
_atom_site_occupancy
Ho1 Ho 0.000 0.000 0.000 1
Ho2 Ho 0.000 0.163 0.000 1
Ho3 Ho 0.000 0.372 0.000 1
Ho4 Ho 0.189 0.500 0.000 1
Ho5 Ho 0.247 0.335 0.000 1
Tl1 Tl 0.000 0.500 0.500 1
Tl2 Tl 0.110 0.260 0.500 1
Tl3 Tl 0.143 0.074 0.500 1
Ru1 Ru 0.147 0.401 0.500 1

Entry 9:
# Ho5Tl2Ru | Alexandria via LeMat-Bulk | PBE | optimized geometry
# **Magnetic moment**: 0.00 μB/atom
# **Calculated formation energy**: -0.341 eV/atom
# **ρ**: 10.26 Mg/m³
# **Calculated volume**: 26.99 Å³ per atom
# **VASP energy**: -39.62 eV/f.u.
data_Ho5Tl2Ru
_chemical_formula_sum 'Ho10 Tl4 Ru2'
_cell_length_a 7.662
_cell_length_b 12.115
_cell_length_c 4.652
_cell_angle_alpha 90.00
_cell_angle_beta 90.00
_cell_angle_gamma 90.00
_space_group_name_H-M_alt 'P b a m'
_space_group_IT_number 55
_space_group_name_Hall '-P 2 2ab'
loop_
_atom_site_label
_atom_site_type_symbol
_atom_site_fract_x
_atom_site_fract_y
_atom_site_fract_z
_atom_site_occupancy
Ho1 Ho 0.000 0.000 0.000 1
Ho2 Ho 0.140 0.297 0.000 1
Ho3 Ho 0.182 0.573 0.500 1
Tl1 Tl 0.076 0.832 0.500 1
Ru1 Ru 0.000 0.500 0.000 1

Entry 10:
# Ho6TlRu5 | Alexandria via LeMat-Bulk | PBE | optimized geometry
# **Magnetic moment**: 0.00 μB/atom
# **Calculated formation energy**: -0.360 eV/atom
# **ρ**: 11.48 Mg/m³
# **Calculated volume**: 20.48 Å³ per atom
# **VASP energy**: -80.53 eV/f.u.
data_Ho6TlRu5
_chemical_formula_sum 'Ho12 Tl2 Ru10'
_cell_length_a 4.861
_cell_length_b 14.547
_cell_length_c 6.952
_cell_angle_alpha 90.00
_cell_angle_beta 90.00
_cell_angle_gamma 90.00
_space_group_name_H-M_alt 'C m m m'
_space_group_IT_number 65
_space_group_name_Hall '-C 2 2'
loop_
_atom_site_label
_atom_site_type_symbol
_atom_site_fract_x
_atom_site_fract_y
_atom_site_fract_z
_atom_site_occupancy
Ho1 Ho 0.000 0.000 0.231 1
Ho2 Ho 0.000 0.326 0.244 1
Tl1 Tl 0.000 0.500 0.500 1
Ru1 Ru 0.000 0.164 0.500 1
Ru2 Ru 0.000 0.166 0.000 1
Ru3 Ru 0.000 0.500 0.000 1